# 1
A relaxed KNa2VBr6 crystal. Source: Alexandria, functional GGA-PBE.

The structure in POSCAR format:
```
KNa2VBr6
1.0
3.706 2.139 6.682
-3.706 2.139 6.682
0.000 -4.279 6.682
K Na V Br
1 2 1 6
direct
0.000 0.000 0.000
0.291 0.291 0.291
0.807 0.807 0.807
0.485 0.485 0.485
0.121 0.671 0.430
0.263 0.565 0.842
0.430 0.121 0.671
0.565 0.842 0.263
0.671 0.430 0.121
0.842 0.263 0.565
```

Computed properties:
Its calculated density is 3.2 g cm⁻³. The calculation puts the uncorrected formation energy at -1.277 eV per atom. As for the density of states at the Fermi level: 11.0 states/eV/cell.

=====

# 2
A relaxed AcHoOsPd crystal. Source: Alexandria, functional GGA-PBE.

The structure in POSCAR format:
```
AcHoOsPd
1.0
0.000 3.588 3.588
3.588 0.000 3.588
3.588 3.588 0.000
Ac Ho Os Pd
1 1 1 1
direct
0.000 0.000 0.000
0.500 0.500 0.500
0.250 0.250 0.250
0.750 0.750 0.750
```

Computed properties:
Its calculated density is 12.4 g cm⁻³. The value obtained for the energy is -6.596 eV per atom. As for the density of states at the Fermi level: 2.4 states/eV/cell.

=====

# 3
A relaxed LaZnTc crystal. Source: Alexandria, functional GGA-PBE.

The structure in POSCAR format:
```
LaZnTc
1.0
0.000 3.374 3.374
3.374 0.000 3.374
3.374 3.374 0.000
La Zn Tc
1 1 1
direct
0.000 0.000 0.000
0.250 0.250 0.250
0.750 0.750 0.750
```

Computed properties:
Its calculated density is 6.5 g cm⁻³. The value obtained for the energy is -4.457 eV per atom. As for the density of states at the Fermi level: 6.6 states/eV/cell.

=====

# 4
A relaxed Nb4PtC2 crystal. Source: Alexandria, functional GGA-PBE.

The structure in POSCAR format:
```
Nb4PtC2
1.0
1.627 -5.429 0.000
1.627 5.429 0.000
0.000 0.000 11.465
Nb Pt C
8 2 4
direct
0.000 0.000 0.000
0.000 0.000 0.500
0.260 0.740 0.603
0.260 0.740 0.897
0.414 0.586 0.250
0.586 0.414 0.750
0.740 0.260 0.103
0.740 0.260 0.397
0.109 0.891 0.250
0.891 0.109 0.750
0.367 0.633 0.062
0.367 0.633 0.438
0.633 0.367 0.562
0.633 0.367 0.938
```

Computed properties:
Its calculated density is 9.7 g cm⁻³. The value obtained for the energy is -9.781 eV per atom. As for the density of states at the Fermi level: 6.4 states/eV/cell.